Density functional theory data (meta-GGA SCAN) for a crystal of LaHf2Zr relaxed with PBEsol.

a b c (Å): 5.0938 5.0938 5.0938
angles (deg): 60.00 60.00 60.00
Fractional coordinates of all 4 atoms:
Hf 0.2500 0.2500 0.2500
Hf 0.7500 0.7500 0.7500
Zr 0.0000 0.0000 0.0000
La 0.5000 0.5000 0.5000

Calculated formation energy ... 0.321 eV/atom
DOS at the Fermi energy ... 6.22 states/eV/cell


Density functional theory data (meta-GGA SCAN) for a crystal of AlS2N2 relaxed with PBEsol.

a b c (Å): 3.9071 3.9071 3.7219
angles (deg): 90.00 90.00 90.00
Fractional coordinates of all 5 atoms:
S 0.0000 0.5000 0.0000
S 0.5000 0.0000 0.0000
Al 0.5000 0.5000 0.5000
N 0.0000 0.0000 0.0000
N 0.0000 0.0000 0.5000

E_form (uncorrected) ... 1.467 eV per atom
E above lowest polymorph ... 537 meV per atom
DOS at the Fermi energy ... 1.63 states/eV/cell


Theoretical density? In order: 10432, 3482 kg/m3.
M_tot? In order: 0.000, 0.000 μB per formula unit.
Total energy? In order: -197.87, -38.25 eV/cell.